(1)
Density functional theory data (PBE-GGA) for a relaxed Ca5ZnHg4 crystal.

Lattice parameters (Å, degrees): 3.738 3.738 19.147 90.00 90.00 90.00
Fractional positions:
1 Ca 0.500 0.500 0.096
2 Ca 0.500 0.500 0.298
3 Ca 0.500 0.500 0.500
4 Ca 0.500 0.500 0.702
5 Ca 0.500 0.500 0.904
6 Zn 0.000 0.000 0.000
7 Hg 0.000 0.000 0.196
8 Hg 0.000 0.000 0.399
9 Hg 0.000 0.000 0.601
10 Hg 0.000 0.000 0.804

Calculated formation energy: -0.4850 eV/atom


(2)
Density functional theory data (PBE-GGA) for a relaxed TaNiP2H crystal.

Lattice parameters (Å, degrees): 4.107 4.836 4.107 90.00 90.00 90.00
Fractional positions:
1 Ni 0.000 0.000 0.000
2 H 0.500 0.500 0.500
3 P 0.000 0.000 0.500
4 P 0.500 0.000 0.000
5 Ta 0.000 0.500 0.000

Final energy: -5.276 eV/atom


(3)
Density functional theory data (PBE-GGA) for a relaxed YMg2ZrSc crystal.

Lattice parameters (Å, degrees): 5.237 5.237 5.130 90.00 90.00 90.00
Each line ends with the local moment (μB).
Fractional positions:
1 Y 0.000 0.000 0.500  0.15
2 Sc 0.000 0.000 0.000  0.09
3 Mg 0.000 0.500 0.000  0.00
4 Mg 0.500 0.000 0.000  0.00
5 Zr 0.500 0.500 0.500  0.47

Calculated formation energy: 1.0115 eV/atom


(4)
Density functional theory data (PBE-GGA) for a relaxed ErIn2Ag2 crystal.

Lattice parameters (Å, degrees): 4.992 4.992 5.983 90.00 90.00 120.00
Fractional positions:
1 Er 0.333 0.667 0.000
2 In 0.333 0.667 0.500
3 In 0.667 0.333 0.000
4 Ag 0.000 0.000 0.248
5 Ag 0.000 0.000 0.752

Calculated formation energy: 0.0472 eV/atom